Density functional theory data (PBE) for crystalline Rb2SnCl at its relaxed geometry.

Lattice parameters (Å, degrees): 6.2395 6.2395 6.2395 60.00 60.00 60.00
Atoms (fractional coordinates):
1 Sn 0.5000 0.5000 0.5000
2 Rb 0.2500 0.2500 0.2500
3 Rb 0.7500 0.7500 0.7500
4 Cl 0.0000 0.0000 0.0000

The energy above the most stable polymorph in this dataset comes out at 0.035 eV per atom. The space-group type is Fm-3m (225). The formation energy without anion corrections comes out at -2.19 eV/f.u.